(1)
# HoPaSe2 PBE relaxed
# Calculated total energy (eV/atom): -6.72
# Uncorrected formation energy (kJ/mol of formula units): -565
data_HoPaSe2
_chemical_formula_sum 'Ho3 Pa3 Se6'
_space_group_name_H-M_alt 'P -3 m 1'
_space_group_IT_number 164
_space_group_name_Hall '-P 3 2"'
_cell_length_a 3.9865
_cell_length_b 3.9865
_cell_length_c 20.6271
_cell_angle_alpha 90.00
_cell_angle_beta 90.00
_cell_angle_gamma 120.00
loop_
_atom_site_label
_atom_site_type_symbol
_atom_site_fract_x
_atom_site_fract_y
_atom_site_fract_z
Ho1 Ho 0.0000 0.0000 0.0000
Ho2 Ho 0.3333 0.6667 0.1662
Pa1 Pa 0.0000 0.0000 0.5000
Pa2 Pa 0.3333 0.6667 0.6674
Se1 Se 0.0000 0.0000 0.2461
Se2 Se 0.3333 0.6667 0.4164
Se3 Se 0.3333 0.6667 0.9177

=====

(2)
# HoPaSe3 PBE relaxed
# Calculated total energy (eV/atom): -6.40
# Uncorrected formation energy (kJ/mol of formula units): -719
data_HoPaSe3
_chemical_formula_sum 'Ho2 Pa2 Se6'
_space_group_name_H-M_alt 'P 63 m c'
_space_group_IT_number 186
_space_group_name_Hall 'P 6c -2c'
_cell_length_a 4.0795
_cell_length_b 4.0795
_cell_length_c 20.7825
_cell_angle_alpha 90.00
_cell_angle_beta 90.00
_cell_angle_gamma 120.00
loop_
_atom_site_label
_atom_site_type_symbol
_atom_site_fract_x
_atom_site_fract_y
_atom_site_fract_z
Ho1 Ho 0.0000 0.0000 0.0000
Pa1 Pa 0.3333 0.6667 0.3234
Se1 Se 0.0000 0.0000 0.2467
Se2 Se 0.3333 0.6667 0.5685
Se3 Se 0.3333 0.6667 0.9112

=====

(3)
# HoPa2Se6 PBE relaxed
# Calculated total energy (eV/atom): -6.34
# Uncorrected formation energy (kJ/mol of formula units): -1214
data_HoPa2Se6
_chemical_formula_sum 'Ho2 Pa4 Se12'
_space_group_name_H-M_alt 'P 42/m n m'
_space_group_IT_number 136
_space_group_name_Hall '-P 4n 2n'
_cell_length_a 6.6749
_cell_length_b 6.6749
_cell_length_c 12.6609
_cell_angle_alpha 90.00
_cell_angle_beta 90.00
_cell_angle_gamma 90.00
loop_
_atom_site_label
_atom_site_type_symbol
_atom_site_fract_x
_atom_site_fract_y
_atom_site_fract_z
Ho1 Ho 0.0000 0.0000 0.0000
Pa1 Pa 0.0000 0.0000 0.3331
Se1 Se 0.1951 0.1951 0.5000
Se2 Se 0.1990 0.1990 0.1684